Entry from the Alexandria database: PrDy2 after structural relaxation (PBE).

POSCAR file:
```
PrDy2
1.0
3.6622 0.0000 0.0000
0.0000 6.0960 0.0000
0.0000 0.0000 17.7164
Pr Dy
4 8
direct
0.7500 0.7454 0.4941 Pr
0.2500 0.2546 0.5059 Pr
0.2500 0.7546 0.9941 Pr
0.7500 0.2454 0.0059 Pr
0.7500 0.9023 0.8244 Dy
0.2500 0.0977 0.1756 Dy
0.2500 0.5977 0.3244 Dy
0.7500 0.4023 0.6756 Dy
0.7500 0.0987 0.3412 Dy
0.2500 0.9013 0.6588 Dy
0.2500 0.4013 0.8412 Dy
0.7500 0.5987 0.1588 Dy
```

## Properties
- Excess energy over the best structure of this formula in the dataset: 0.15 eV/f.u.
- E: -4.614 eV per atom

Entry from the Alexandria database: NaY3Cl after structural relaxation (PBE).

POSCAR file:
```
NaY3Cl
1.0
5.6812 0.0000 0.0000
0.0000 5.6812 0.0000
0.0000 0.0000 5.6812
Y Na Cl
3 1 1
direct
0.0000 0.5000 0.0000 Y
0.0000 0.0000 0.5000 Y
0.5000 0.0000 0.0000 Y
0.0000 0.0000 0.0000 Na
0.5000 0.5000 0.5000 Cl
```

## Properties
- Formation energy without anion corrections: 0.724 eV per atom
- Excess energy over the best structure of this formula in the dataset: 4.77 eV/f.u.
- E: -3.788 eV per atom

Entry from the Alexandria database: BaNaCa2Ru after structural relaxation (PBE).

POSCAR file:
```
BaNaCa2Ru
1.0
5.6774 0.0000 0.0000
0.0000 5.6774 0.0000
0.0000 0.0000 5.8554
Ru Ca Ba Na
1 2 1 1
direct
0.0000 0.0000 0.0000 Ru
0.0000 0.5000 0.0000 Ca
0.5000 0.0000 0.0000 Ca
0.0000 0.0000 0.5000 Ba
0.5000 0.5000 0.5000 Na
```

## Properties
- E: -3.143 eV per atom

Entry from the Alexandria database: Ti5SiMo2 after structural relaxation (PBE).

POSCAR file:
```
Ti5SiMo2
1.0
6.6522 0.0000 0.0000
0.0000 6.6522 0.0000
-3.3261 -3.3261 5.9469
Ti Si Mo
10 2 4
direct
0.4976 0.6838 0.6813 Ti
0.8162 0.0024 0.3187 Ti
0.0000 0.0000 0.0000 Ti
0.5000 0.5000 0.0000 Ti
0.1838 0.9976 0.6813 Ti
0.6838 0.1838 0.6813 Ti
0.9976 0.4976 0.6813 Ti
0.3162 0.8162 0.3187 Ti
0.0024 0.5024 0.3187 Ti
0.5024 0.3162 0.3187 Ti
0.7500 0.7500 0.5000 Si
0.2500 0.2500 0.5000 Si
0.1555 0.3445 0.0000 Mo
0.6555 0.1555 0.0000 Mo
0.3445 0.8445 0.0000 Mo
0.8445 0.6555 0.0000 Mo
```

## Properties
- Formation energy without anion corrections: -0.048 eV per atom
- E: -8.368 eV per atom

Entry from the Alexandria database: CeEr2Pu after structural relaxation (PBE).

POSCAR file:
```
CeEr2Pu
1.0
-0.0740 0.6424 -5.5015
1.4911 -4.1930 -3.2984
-3.8145 -2.6213 -3.0436
Er Ce Pu
2 1 1
direct
0.2500 0.2500 0.2500 Er
0.7500 0.7500 0.7500 Er
0.5000 0.5000 0.5000 Ce
0.0000 0.0000 0.0000 Pu
```

## Properties
- Excess energy over the best structure of this formula in the dataset: 0.51 eV/f.u.
- E: -7.094 eV per atom

Entry from the Alexandria database: Sm2ZnGaAu6 after structural relaxation (PBE).

POSCAR file:
```
Sm2ZnGaAu6
1.0
7.0382 -0.3930 -0.6103
0.0299 7.6192 1.7500
3.1360 4.8536 4.8948
Sm Zn Ga Au
2 1 1 6
direct
0.2602 0.6967 0.6108 Sm
0.7398 0.3033 0.3892 Sm
0.5000 0.5000 0.0000 Zn
0.0000 0.0000 0.0000 Ga
0.2467 0.7241 0.0210 Au
0.5831 0.7713 0.1390 Au
0.0748 0.0525 0.6078 Au
0.7533 0.2759 0.9790 Au
0.4169 0.2287 0.8610 Au
0.9252 0.9475 0.3922 Au
```

## Properties
- E: -3.821 eV per atom

Entry from the Alexandria database: K3CeHo2O6 after structural relaxation (PBE).

POSCAR file:
```
K3CeHo2O6
1.0
-0.4847 1.8971 -5.7893
-4.8371 -2.4340 2.8333
0.0844 5.8727 2.9925
K Ce Ho O
3 1 2 6
direct
0.1677 0.8323 0.5000 K
0.8323 0.1677 0.5000 K
0.5000 0.5000 0.5000 K
0.0000 0.0000 0.0000 Ce
0.3334 0.6666 0.0000 Ho
0.6666 0.3334 0.0000 Ho
0.9381 0.5947 0.8145 O
0.7184 0.7184 0.1855 O
0.0619 0.4053 0.1855 O
0.5947 0.9381 0.8145 O
0.2816 0.2816 0.8145 O
0.4053 0.0619 0.1855 O
```

## Properties
- Formation energy without anion corrections: -2.709 eV per atom
- E: -6.720 eV per atom

Entry from the Alexandria database: Sr2Li2CaIn5 after structural relaxation (PBE).

POSCAR file:
```
Sr2Li2CaIn5
1.0
-3.9909 0.4062 2.2588
2.2609 -8.9522 5.6044
4.8867 5.9677 7.5610
Sr Li Ca In
4 4 2 10
direct
0.0000 0.6810 0.1810 Sr
0.0000 0.3190 0.8190 Sr
0.0000 0.1810 0.3190 Sr
0.0000 0.8190 0.6810 Sr
0.0000 0.1114 0.6115 Li
0.0000 0.8886 0.3886 Li
0.0000 0.6115 0.8886 Li
0.0000 0.3886 0.1114 Li
0.0000 0.0000 0.0000 Ca
0.0000 0.5000 0.5000 Ca
0.5000 0.2157 0.0636 In
0.5000 0.7843 0.9364 In
0.5000 0.0636 0.7843 In
0.5000 0.7157 0.4364 In
0.5000 0.9364 0.2157 In
0.5000 0.2843 0.5636 In
0.5000 0.5636 0.7157 In
0.5000 0.4364 0.2843 In
0.5000 0.5000 0.0000 In
0.5000 0.0000 0.5000 In
```

## Properties
- E: -2.675 eV per atom